No. 1
# SrLa2TlCo | the Alexandria database | PBE-GGA | optimized geometry
data_SrLa2TlCo
_cell_length_a 5.965
_cell_length_b 5.965
_cell_length_c 4.667
_cell_angle_alpha 90.00
_cell_angle_beta 90.00
_cell_angle_gamma 90.00
_symmetry_space_group_name_H-M 'P 4/m m m'
_symmetry_Int_Tables_number 123
_symmetry_space_group_name_Hall '-P 4 2'
loop_
_atom_site_label
_atom_site_fract_x
_atom_site_fract_y
_atom_site_fract_z
_atom_site_occupancy
Sr1 0.000 0.000 0.000 1
La1 0.000 0.500 0.000 1
Tl1 0.500 0.500 0.500 1
Co1 0.000 0.000 0.500 1
# ΔE to the lowest computed polymorph (meV per atom): 1128
# Size of the total moment (μB/cell): 0.664

---

No. 2
# SrLa2TlCo | the Alexandria database | PBE-GGA | optimized geometry
data_SrLa2TlCo
_cell_length_a 5.388
_cell_length_b 5.388
_cell_length_c 5.374
_cell_angle_alpha 90.00
_cell_angle_beta 90.00
_cell_angle_gamma 90.00
_symmetry_space_group_name_H-M 'P 4/m m m'
_symmetry_Int_Tables_number 123
_symmetry_space_group_name_Hall '-P 4 2'
loop_
_atom_site_label
_atom_site_fract_x
_atom_site_fract_y
_atom_site_fract_z
_atom_site_occupancy
Sr1 0.000 0.000 0.000 1
La1 0.000 0.500 0.500 1
Tl1 0.500 0.500 0.000 1
Co1 0.500 0.500 0.500 1
# ΔE to the lowest computed polymorph (meV per atom): 28
# Size of the total moment (μB/cell): 0.000

---

No. 3
# SrLaZn2Co | the Alexandria database | PBE-GGA | optimized geometry
data_SrLaZn2Co
_cell_length_a 5.026
_cell_length_b 5.026
_cell_length_c 4.817
_cell_angle_alpha 90.00
_cell_angle_beta 90.00
_cell_angle_gamma 90.00
_symmetry_space_group_name_H-M 'P 4/m m m'
_symmetry_Int_Tables_number 123
_symmetry_space_group_name_Hall '-P 4 2'
loop_
_atom_site_label
_atom_site_fract_x
_atom_site_fract_y
_atom_site_fract_z
_atom_site_occupancy
Sr1 0.000 0.000 0.000 1
La1 0.500 0.500 0.000 1
Zn1 0.000 0.500 0.500 1
Co1 0.500 0.500 0.500 1
# Size of the total moment (μB/cell): 0.000

---

No. 4
# LaTa2Co | the Alexandria database | PBE-GGA | optimized geometry
data_LaTa2Co
_cell_length_a 11.931
_cell_length_b 2.997
_cell_length_c 4.835
_cell_angle_alpha 90.00
_cell_angle_beta 113.82
_cell_angle_gamma 90.00
_symmetry_space_group_name_H-M 'C 1 2/m 1'
_symmetry_Int_Tables_number 12
loop_
_symmetry_equiv_pos_as_xyz
'x,y,z'
'-x,-y,-z'
'-x,y,-z'
'x,-y,z'
'x+1/2,y+1/2,z'
'-x+1/2,-y+1/2,-z'
'-x+1/2,y+1/2,-z'
'x+1/2,-y+1/2,z'
loop_
_atom_site_label
_atom_site_fract_x
_atom_site_fract_y
_atom_site_fract_z
_atom_site_occupancy
La1 0.000 0.000 0.000 1
Ta1 0.207 0.000 0.707 1
Co1 0.000 0.500 0.500 1
# ΔE to the lowest computed polymorph (meV per atom): 162
# Size of the total moment (μB/cell): 1.261

---

No. 5
# LaTa2Co | the Alexandria database | PBE-GGA | optimized geometry
data_LaTa2Co
_cell_length_a 3.0006
_cell_length_b 3.0006
_cell_length_c 29.6978
_cell_angle_alpha 90.00
_cell_angle_beta 90.00
_cell_angle_gamma 120.00
_symmetry_space_group_name_H-M 'R -3 m'
_symmetry_Int_Tables_number 166
_symmetry_space_group_name_Hall '-R 3 2"'
loop_
_atom_site_label
_atom_site_fract_x
_atom_site_fract_y
_atom_site_fract_z
_atom_site_occupancy
La1 0.0000 0.0000 0.0000 1
Ta1 0.0000 0.0000 0.1008 1
Co1 0.0000 0.0000 0.5000 1
# ΔE to the lowest computed polymorph (meV per atom): 461
# Size of the total moment (μB/cell): 0.264

---

No. 6
# LaTa2Co | the Alexandria database | PBE-GGA | optimized geometry
data_LaTa2Co
_cell_length_a 3.143
_cell_length_b 4.877
_cell_length_c 5.225
_cell_angle_alpha 90.00
_cell_angle_beta 101.98
_cell_angle_gamma 90.00
_symmetry_space_group_name_H-M 'P 1 2/m 1'
_symmetry_Int_Tables_number 10
loop_
_symmetry_equiv_pos_as_xyz
'x,y,z'
'-x,-y,-z'
'-x,y,-z'
'x,-y,z'
loop_
_atom_site_label
_atom_site_fract_x
_atom_site_fract_y
_atom_site_fract_z
_atom_site_occupancy
La1 0.000 0.000 0.000 1
Ta1 0.296 0.500 0.723 1
Co1 0.500 0.000 0.500 1
# ΔE to the lowest computed polymorph (meV per atom): 370
# Size of the total moment (μB/cell): 0.676

---

No. 7
# LaTaCo | the Alexandria database | PBE-GGA | optimized geometry
data_LaTaCo
_cell_length_a 6.310
_cell_length_b 6.310
_cell_length_c 6.310
_cell_angle_alpha 90.00
_cell_angle_beta 90.00
_cell_angle_gamma 90.00
_symmetry_space_group_name_H-M 'F -4 3 m'
_symmetry_Int_Tables_number 216
_symmetry_space_group_name_Hall 'F -4 2 3'
loop_
_atom_site_label
_atom_site_fract_x
_atom_site_fract_y
_atom_site_fract_z
_atom_site_occupancy
La1 0.000 0.000 0.000 1
Ta1 0.250 0.250 0.750 1
Co1 0.250 0.250 0.250 1
# ΔE to the lowest computed polymorph (meV per atom): 1562
# Size of the total moment (μB/cell): 0.000

---

No. 8
# LaTaCo | the Alexandria database | PBE-GGA | optimized geometry
data_LaTaCo
_cell_length_a 4.0937
_cell_length_b 4.0937
_cell_length_c 4.7239
_cell_angle_alpha 90.00
_cell_angle_beta 90.00
_cell_angle_gamma 120.00
_symmetry_space_group_name_H-M 'P 3 m 1'
_symmetry_Int_Tables_number 156
loop_
_symmetry_equiv_pos_as_xyz
'x,y,z'
'-y,x-y,z'
'-x+y,-x,z'
'-y,-x,z'
'-x+y,y,z'
'x,x-y,z'
loop_
_atom_site_label
_atom_site_fract_x
_atom_site_fract_y
_atom_site_fract_z
_atom_site_occupancy
La1 0.0000 0.0000 0.0000 1
Ta1 0.6667 0.3333 0.4894 1
Co1 0.3333 0.6667 0.5382 1
# ΔE to the lowest computed polymorph (meV per atom): 298
# Size of the total moment (μB/cell): 0.000

---

No. 9
# LaTa2Co | the Alexandria database | PBE-GGA | optimized geometry
data_LaTa2Co
_cell_length_a 9.821
_cell_length_b 3.210
_cell_length_c 5.787
_cell_angle_alpha 90.00
_cell_angle_beta 109.43
_cell_angle_gamma 90.00
_symmetry_space_group_name_H-M 'C 1 m 1'
_symmetry_Int_Tables_number 8
loop_
_symmetry_equiv_pos_as_xyz
'x,y,z'
'x,-y,z'
'x+1/2,y+1/2,z'
'x+1/2,-y+1/2,z'
loop_
_atom_site_label
_atom_site_fract_x
_atom_site_fract_y
_atom_site_fract_z
_atom_site_occupancy
La1 0.000 0.000 0.000 1
Ta1 0.057 0.500 0.544 1
Ta2 0.304 0.500 0.358 1
Co1 0.267 0.000 0.646 1
# ΔE to the lowest computed polymorph (meV per atom): 220
# Size of the total moment (μB/cell): 0.000

---

No. 10
# LaTaCo | the Alexandria database | PBE-GGA | optimized geometry
data_LaTaCo
_cell_length_a 4.412
_cell_length_b 4.412
_cell_length_c 6.554
_cell_angle_alpha 90.00
_cell_angle_beta 90.00
_cell_angle_gamma 90.00
_symmetry_space_group_name_H-M 'P 4/n m m'
_symmetry_Int_Tables_number 129
loop_
_symmetry_equiv_pos_as_xyz
'x,y,z'
'-x,-y,-z'
'-y+1/2,x,z'
'y+1/2,-x,-z'
'-x+1/2,-y+1/2,z'
'x+1/2,y+1/2,-z'
'y,-x+1/2,z'
'-y,x+1/2,-z'
'x+1/2,-y,-z'
'-x+1/2,y,z'
'-y,-x,-z'
'y,x,z'
'-x,y+1/2,-z'
'x,-y+1/2,z'
'y+1/2,x+1/2,-z'
'-y+1/2,-x+1/2,z'
loop_
_atom_site_label
_atom_site_fract_x
_atom_site_fract_y
_atom_site_fract_z
_atom_site_occupancy
La1 0.250 0.250 0.117 1
Ta1 0.250 0.750 0.500 1
Co1 0.250 0.250 0.676 1
# ΔE to the lowest computed polymorph (meV per atom): 0
# Size of the total moment (μB/cell): 0.000

---

No. 11
# LaTa2Co | the Alexandria database | PBE-GGA | optimized geometry
data_LaTa2Co
_cell_length_a 6.753
_cell_length_b 6.753
_cell_length_c 6.753
_cell_angle_alpha 90.00
_cell_angle_beta 90.00
_cell_angle_gamma 90.00
_symmetry_space_group_name_H-M 'F -4 3 m'
_symmetry_Int_Tables_number 216
_symmetry_space_group_name_Hall 'F -4 2 3'
loop_
_atom_site_label
_atom_site_fract_x
_atom_site_fract_y
_atom_site_fract_z
_atom_site_occupancy
La1 0.000 0.000 0.000 1
Ta1 0.000 0.000 0.500 1
Ta2 0.250 0.250 0.250 1
Co1 0.250 0.250 0.750 1
# ΔE to the lowest computed polymorph (meV per atom): 298
# Size of the total moment (μB/cell): 5.333

---

No. 12
# LaTa2Co | the Alexandria database | PBE-GGA | optimized geometry
data_LaTa2Co
_cell_length_a 5.056
_cell_length_b 5.056
_cell_length_c 16.516
_cell_angle_alpha 90.00
_cell_angle_beta 90.00
_cell_angle_gamma 90.00
_symmetry_space_group_name_H-M 'I 41/a m d'
_symmetry_Int_Tables_number 141
loop_
_symmetry_equiv_pos_as_xyz
'x,y,z'
'-x,-y,-z'
'-y+1/4,x+3/4,z+1/4'
'y+1/4,-x+3/4,-z+1/4'
'-x+1/2,-y,z+1/2'
'x+1/2,y,-z+1/2'
'y+1/4,-x+1/4,z+3/4'
'-y+1/4,x+1/4,-z+3/4'
'x,-y,-z'
'-x,y,z'
'-y+1/4,-x+1/4,-z+3/4'
'y+1/4,x+1/4,z+3/4'
'-x+1/2,y,-z+1/2'
'x+1/2,-y,z+1/2'
'y+1/4,x+3/4,-z+1/4'
'-y+1/4,-x+3/4,z+1/4'
'x+1/2,y+1/2,z+1/2'
'-x+1/2,-y+1/2,-z+1/2'
'-y+3/4,x+1/4,z+3/4'
'y+3/4,-x+1/4,-z+3/4'
'-x,-y+1/2,z'
'x,y+1/2,-z'
'y+3/4,-x+3/4,z+1/4'
'-y+3/4,x+3/4,-z+1/4'
'x+1/2,-y+1/2,-z+1/2'
'-x+1/2,y+1/2,z+1/2'
'-y+3/4,-x+3/4,-z+1/4'
'y+3/4,x+3/4,z+1/4'
'-x,y+1/2,-z'
'x,-y+1/2,z'
'y+3/4,x+1/4,-z+3/4'
'-y+3/4,-x+1/4,z+3/4'
loop_
_atom_site_label
_atom_site_fract_x
_atom_site_fract_y
_atom_site_fract_z
_atom_site_occupancy
La1 0.000 0.250 0.375 1
Ta1 0.000 0.000 0.000 1
Co1 0.000 0.250 0.875 1
# ΔE to the lowest computed polymorph (meV per atom): 778
# Size of the total moment (μB/cell): 0.000

---

Which DOS(E_F) belongs to each record? In order, 1.326, 0.865, 0.804, 1.199, 1.430, 1.123, 1.054, 1.011, 0.928, 0.839, 0.819, 1.692 states/eV per atom.
Which total energy belongs to each record? In order, -3.208, -4.307, -3.378, -8.629, -8.331, -8.422, -6.520, -7.784, -8.572, -8.081, -8.494, -8.013 eV/atom.
Which E_form belongs to each record? In order, 0.99, -0.11, -0.13, 0.31, 0.60, 0.51, 1.44, 0.18, 0.36, -0.12, 0.44, 0.92 eV per atom.